The following is a GGA+U calculation of a geometry-optimized CaAlWO6 structure, from the Alexandria database.

Geometry as CIF:
```
data_CaAlWO6
_symmetry_space_group_name_H-M 'P -3 1 c'
_symmetry_Int_Tables_number 163
_symmetry_space_group_name_Hall '-P 3 2c'
_cell_length_a 5.1273
_cell_length_b 5.1273
_cell_length_c 10.0680
_cell_angle_alpha 90.00
_cell_angle_beta 90.00
_cell_angle_gamma 120.00
loop_
_atom_site_label
_atom_site_type_symbol
_atom_site_fract_x
_atom_site_fract_y
_atom_site_fract_z
Ca1 Ca 0.0000 0.0000 0.0000
Al1 Al 0.3333 0.6667 0.2500
W1 W 0.3333 0.6667 0.7500
O1 O 0.0042 0.3712 0.1453
```

Values from the calculation:
Total energy   -127.6 eV per cell
M_tot   2.08 μB per cell



The following is a GGA+U calculation of a geometry-optimized Ca2AlWO6 structure, from the Alexandria database.

Geometry as CIF:
```
data_Ca2AlWO6
_symmetry_space_group_name_H-M 'P 1 21/c 1'
_symmetry_Int_Tables_number 14
_symmetry_space_group_name_Hall '-P 2ybc'
_cell_length_a 5.4020
_cell_length_b 5.4665
_cell_length_c 9.3957
_cell_angle_alpha 90.00
_cell_angle_beta 124.64
_cell_angle_gamma 90.00
loop_
_atom_site_label
_atom_site_type_symbol
_atom_site_fract_x
_atom_site_fract_y
_atom_site_fract_z
Ca1 Ca 0.2395 0.0390 0.2469
Al1 Al 0.0000 0.0000 0.5000
W1 W 0.5000 0.0000 0.0000
O1 O 0.1593 0.2199 0.9573
O2 O 0.2534 0.7125 0.9625
O3 O 0.3188 0.0200 0.7419
```

Values from the calculation:
Total energy   -144.5 eV per cell
M_tot   2.00 μB per cell



Question: Which value of M_tot does entry 1 give?
Answer: 2.08 μB per cell